No. 1
An optimized crystal structure of RbZrBe. Source: OQMD via LeMat-Bulk, functional GGA-PBE.

POSCAR file:
```
RbZrBe
1.0
4.695 1.572 0.006
1.154 4.343 2.079
2.567 0.114 4.232
Be Rb Zr
1 1 1
Cartesian
0.000 0.000 0.000
2.104 1.507 1.579
6.311 4.522 4.738
```

total magnetization: 0.7 μB per cell
offset from the most stable computed form: 0.000 kcal/mol of atoms

No. 2
An optimized crystal structure of RbZrBe. Source: OQMD via LeMat-Bulk, functional GGA-PBE.

POSCAR file:
```
RbZrBe
1.0
0.000 3.369 3.369
3.369 0.000 3.369
3.369 3.369 0.000
Rb Zr Be
1 1 1
Cartesian
0.000 0.000 0.000
5.054 5.054 5.054
1.685 1.685 1.685
```

total magnetization: 0.0 μB per cell
offset from the most stable computed form: 12.849 kcal/mol of atoms

No. 3
An optimized crystal structure of Be2Re3. Source: OQMD via LeMat-Bulk, functional GGA-PBE.

POSCAR file:
```
Be2Re3
1.0
-4.877 3.607 -1.343
-1.659 -3.926 -4.520
-1.699 -1.560 1.979
Be Re
4 6
Cartesian
-5.316 0.728 -3.988
-3.304 -2.084 -4.479
-3.233 1.765 -1.384
-1.221 -1.048 -1.874
-5.445 0.918 -1.616
0.000 0.000 0.000
-3.268 -0.160 -2.931
-2.790 -2.798 -2.266
-2.741 -0.257 -0.222
-5.494 -1.623 -3.661
```

energy: -9.09 eV/atom
total magnetization: 0.0 μB per cell

No. 4
An optimized crystal structure of Be2Re. Source: OQMD via LeMat-Bulk, functional GGA-PBE.

POSCAR file:
```
Be2Re
1.0
0.000 3.089 3.089
3.089 0.000 3.089
3.089 3.089 0.000
Be Re
4 2
Cartesian
2.317 2.317 3.861
3.861 3.861 3.861
2.317 3.861 2.317
3.861 2.317 2.317
1.544 1.544 1.544
0.000 0.000 0.000
```

total magnetization: 0.0 μB per cell
offset from the most stable computed form: 0.000 kcal/mol of atoms

No. 5
An optimized crystal structure of BeRe. Source: OQMD via LeMat-Bulk, functional GGA-PBE.

POSCAR file:
```
BeRe
1.0
1.837 -0.712 2.517
0.173 2.016 2.474
-1.347 -0.778 2.792
Re Be
1 1
Cartesian
0.332 0.263 3.892
0.000 0.000 0.000
```

total magnetization: 0.0 μB per cell
offset from the most stable computed form: 7.185 kcal/mol of atoms

No. 6
An optimized crystal structure of Be2Re. Source: OQMD via LeMat-Bulk, functional GGA-PBE.

POSCAR file:
```
Be2Re
1.0
0.000 5.145 5.145
5.145 0.000 5.145
5.145 5.145 0.000
Be Re
4 2
Cartesian
1.286 3.859 3.859
3.859 3.859 1.286
1.286 1.286 1.286
3.859 1.286 3.859
0.000 0.000 0.000
2.573 2.573 2.573
```

total magnetization: 1.3 μB per cell
offset from the most stable computed form: 70.069 kcal/mol of atoms

No. 7
An optimized crystal structure of BeRe. Source: OQMD via LeMat-Bulk, functional GGA-PBE.

POSCAR file:
```
BeRe
1.0
0.000 2.470 2.470
2.470 0.000 2.470
2.470 2.470 0.000
Be Re
1 1
Cartesian
0.000 0.000 0.000
1.235 1.235 1.235
```

total magnetization: 0.0 μB per cell
offset from the most stable computed form: 43.360 kcal/mol of atoms

No. 8
An optimized crystal structure of BeRe. Source: OQMD via LeMat-Bulk, functional GGA-PBE.

POSCAR file:
```
BeRe
1.0
-1.299 0.503 2.291
-0.965 -1.818 -1.718
2.100 -2.825 1.811
Re Be
1 1
Cartesian
-0.552 -1.751 0.071
0.387 -2.390 2.313
```

total magnetization: 0.0 μB per cell
offset from the most stable computed form: 0.000 kcal/mol of atoms